1.
Crystalline Sm2Al5Ni3 at its relaxed geometry, computed with PBE.

a b c (Å): 12.6098 12.6098 6.6132
angles (deg): 90.00 90.00 160.90
Fractional coordinates of all 20 atoms:
Sm1 0.0218 0.9782 0.5000
Sm2 0.3252 0.6748 0.5502
Sm3 0.6748 0.3252 0.0502
Sm4 0.9782 0.0218 0.0000
Al1 0.0991 0.9009 0.8662
Al2 0.2079 0.7921 0.3620
Al3 0.2129 0.7871 0.7574
Al4 0.3704 0.6296 0.0299
Al5 0.4434 0.5566 0.6695
Al6 0.5566 0.4434 0.1695
Al7 0.6296 0.3704 0.5299
Al8 0.7871 0.2129 0.2574
Al9 0.7921 0.2079 0.8620
Al10 0.9009 0.0991 0.3662
Ni1 0.1095 0.8905 0.2501
Ni2 0.2722 0.7278 0.0612
Ni3 0.4494 0.5506 0.2876
Ni4 0.5506 0.4494 0.7876
Ni5 0.7278 0.2722 0.5612
Ni6 0.8905 0.1095 0.7501

Properties
space group = Cmc2_1, No. 36
final energy = -5.0905 eV per atom
total magnetization = 0.00 μB/cell
crystal system = orthorhombic

---

2.
Crystalline EuTiTe2 at its relaxed geometry, computed with PBE.

a b c (Å): 10.0618 10.0618 10.0618
angles (deg): 22.44 22.44 22.44
Fractional coordinates of all 4 atoms:
Eu1 0.0000 0.0000 0.0000
Ti1 0.5000 0.5000 0.5000
Te1 0.1099 0.1099 0.1099
Te2 0.8901 0.8901 0.8901

Properties
space group = R-3m, No. 166
total magnetization = 7.14 μB/cell
crystal system = trigonal
E_form (uncorrected) = -0.621 eV/atom

---

3.
Crystalline La2Tb6HoEr3 at its relaxed geometry, computed with PBE.

a b c (Å): 6.1973 6.1973 11.8537
angles (deg): 94.99 94.99 120.01
Fractional coordinates of all 12 atoms:
La1 0.1663 0.8337 0.0000
La2 0.8337 0.1663 0.0000
Tb1 0.0824 0.4143 0.7449
Tb2 0.2538 0.2538 0.2553
Tb3 0.4143 0.0824 0.7449
Tb4 0.5857 0.9176 0.2551
Tb5 0.7462 0.7462 0.7447
Tb6 0.9176 0.5857 0.2551
Ho1 0.5000 0.5000 0.0000
Er1 0.0000 0.0000 0.5000
Er2 0.3337 0.6663 0.5000
Er3 0.6663 0.3337 0.5000

Properties
space group = C2/m, No. 12
final energy = -4.6359 eV per atom
total magnetization = 0.00 μB/cell
crystal system = monoclinic

---

4.
Crystalline V4Re3Mo at its relaxed geometry, computed with PBE.

a b c (Å): 3.0427 4.3120 8.6312
angles (deg): 90.00 90.00 90.00
Fractional coordinates of all 8 atoms:
V1 0.0000 0.0000 0.0000
V2 0.0000 0.0000 0.5000
V3 0.0000 0.5000 0.2487
V4 0.0000 0.5000 0.7513
Re1 0.5000 0.0000 0.2484
Re2 0.5000 0.0000 0.7516
Re3 0.5000 0.5000 0.0000
Mo1 0.5000 0.5000 0.5000

Properties
space group = Pmmm, No. 47
final energy = -10.8951 eV per atom
total magnetization = 0.00 μB/cell
crystal system = orthorhombic

---

5.
Crystalline Ca3TbSb2As at its relaxed geometry, computed with PBE.

a b c (Å): 8.9779 8.9779 8.9779
angles (deg): 145.80 144.94 49.79
Fractional coordinates of all 7 atoms:
Ca1 0.0000 0.0000 0.0000
Ca2 0.1778 0.6778 0.5000
Ca3 0.8222 0.3222 0.5000
Tb1 0.5000 0.5000 0.0000
Sb1 0.3690 0.8690 0.5000
Sb2 0.6310 0.1310 0.5000
As1 0.0000 0.5000 0.5000

Properties
space group = Immm, No. 71
total magnetization = 0.00 μB/cell
crystal system = orthorhombic
E_form (uncorrected) = -0.961 eV/atom

---

6.
Crystalline PrTm2Ru9 at its relaxed geometry, computed with PBE.

a b c (Å): 9.1613 9.1613 9.1613
angles (deg): 33.64 33.64 33.64
Fractional coordinates of all 12 atoms:
Pr1 0.0000 0.0000 0.0000
Tm1 0.1399 0.1399 0.1399
Tm2 0.8601 0.8601 0.8601
Ru1 0.0714 0.5905 0.5905
Ru2 0.3390 0.3390 0.3390
Ru3 0.4095 0.4095 0.9286
Ru4 0.4095 0.9286 0.4095
Ru5 0.5000 0.5000 0.5000
Ru6 0.5905 0.0714 0.5905
Ru7 0.5905 0.5905 0.0714
Ru8 0.6610 0.6610 0.6610
Ru9 0.9286 0.4095 0.4095

Properties
space group = R-3m, No. 166
final energy = -8.2296 eV per atom
total magnetization = 0.00 μB/cell
crystal system = trigonal